Record 1
CrReTc2 | PBE | optimized geometry

Unit cell a=5.4478 b=7.6468 c=2.7224 alpha=90.00 beta=90.00 gamma=90.00
Last column: nearest neighbours and their distance in Å.
Space group Cmmm (No. 65)
Inequivalent atoms, fractional coordinates:
Cr 0.0000 0.0000 0.0000 x2  8 Tc 2.71, 2 Cr 2.72, 2 Re 2.72
Re 0.0000 0.5000 0.0000 x2  8 Tc 2.71, 2 Re 2.72, 2 Cr 2.72
Tc 0.2500 0.2500 0.5000 x4  4 Cr 2.71, 4 Re 2.71, 4 Tc 2.72

Calculated values
ΔE_f   0.15 eV per atom
N(E_F)   1.132 states/eV per atom
Final energy   -10.548 eV per atom
Magnetic moment   0.0 μB per cell

Record 2
TlIn7Bi2 | PBE | optimized geometry

Unit cell a=4.6395 b=4.6395 c=28.9554 alpha=90.00 beta=90.00 gamma=90.00
Last column: nearest neighbours and their distance in Å.
Space group I4/mmm (No. 139)
Inequivalent atoms, fractional coordinates:
Tl 0.0000 0.0000 0.0000 x2  12 In 3.28-3.51
In 0.0000 0.0000 0.5000 x2  4 Tl 3.28, 8 In 3.51
In 0.0000 0.5000 0.0912 x8  6 In 3.28-3.51, 2 Bi 3.31, 2 Tl 3.51
In 0.0000 0.5000 0.2500 x4  4 Bi 3.23, 4 In 3.28
Bi 0.0000 0.0000 0.3275 x4  8 In 3.23-3.31

Calculated values
ΔE_f   0.05 eV per atom
N(E_F)   0.462 states/eV per atom
Final energy   -2.875 eV per atom
Magnetic moment   0.0 μB per cell

Record 3
SrPbN | PBE | optimized geometry

Unit cell a=3.6114 b=3.6114 c=27.5633 alpha=90.00 beta=90.00 gamma=90.00
Last column: nearest neighbours and their distance in Å.
Space group I4/mmm (No. 139)
Inequivalent atoms, fractional coordinates:
Sr 0.0000 0.0000 0.0949 x4  4 N 2.59
Pb 0.0000 0.0000 0.3100 x4  1 N 2.20
N 0.0000 0.0000 0.3897 x4  1 Pb 2.20

Calculated values
Formation energy from raw total energies   -161 meV/atom
N(E_F)   0.520 states/eV per atom
Final energy   -4.733 eV per atom
Magnetic moment   0.0 μB per cell

Record 4
Ac4CdBi5 | PBE | optimized geometry

Unit cell a=5.0600 b=5.0600 c=51.7124 alpha=90.00 beta=90.00 gamma=120.00
Last column: nearest neighbours and their distance in Å.
Space group R-3m (No. 166, hexagonal axes)
Inequivalent atoms, fractional coordinates:
Ac 0.0000 0.0000 0.1109 x6  7 Bi 3.48-3.87
Ac 0.0000 0.0000 0.2964 x6  6 Bi 3.49
Cd 0.0000 0.0000 0.5000 x3  6 Bi 3.08
Bi 0.0000 0.0000 0.0000 x3  6 Ac 3.49
Bi 0.0000 0.0000 0.1857 x6  3 Cd 3.08
Bi 0.0000 0.0000 0.4071 x6  6 Ac 3.49-3.50

Calculated values
ΔE_f   -0.70 eV per atom
N(E_F)   0.568 states/eV per atom
Final energy   -4.372 eV per atom
Magnetic moment   0.0 μB per cell